Entry from Alexandria: Li2TmAuO4 after structural relaxation (GGA-PBE).

Summary:
Space group: I-42m

```
Li2TmAuO4
1.0
4.8355 0.2823 0.4069
-2.0808 4.3741 -0.4069
-2.0808 -1.9120 3.9550
Li Tm Au O
2 1 1 4
Cartesian
0.3369 2.9437 0.8870
0.3369 -0.1993 3.0680
0.0000 0.0000 0.0000
-2.0808 1.2310 1.7741
-1.2452 -0.8449 2.1591
0.5329 1.2462 1.7959
-1.5303 2.4869 3.5839
-1.2452 2.3183 -0.0358
```

=====

Entry from Alexandria: LiUAu2O8 after structural relaxation (GGA-PBE).

Summary:
Space group: I-4m2

```
LiUAu2O8
1.0
5.9779 0.4635 0.0000
-2.2360 5.5634 0.0000
-1.8710 -3.0134 4.8342
Li U Au O
1 1 2 8
Cartesian
-1.1180 2.7817 2.4171
0.0000 0.0000 0.0000
2.9890 0.2317 2.4171
1.8710 3.0134 0.0000
1.3848 -0.5747 1.4796
0.3218 2.1165 0.8430
-0.1168 -1.7862 3.9912
2.9777 -1.5637 3.3546
3.4201 3.9103 0.8430
4.5931 1.0382 1.4796
3.0003 2.0272 3.3546
0.1168 1.7862 3.9912
```

=====

| no. | calculated volume (Å³/cell) | ΔE_f (raw) (eV per atom) |
| --- | --- | --- |
| 1 | 87.8 | -1.6051 |
| 2 | 165.8 | -0.8166 |